VASP calculation (PBE-GGA) on an optimized crystal structure of HoIn5Rh.

Summary:
The formation energy from the elements is -405 meV/atom. As for the density: 8.61 g/cm³. Its space group is P4/mmm, No. 123.

Geometry as extended XYZ:
```
7
Lattice="-0.2924 3.9112 -2.5241 -4.2050 -1.3068 -1.5378 -3.1940 3.4860 5.7715" Properties=species:S:1:pos:R:3 pbc="T T T"
Ho 0.0000 0.0000 0.0000
In -2.2487 1.3022 -2.0310
In -2.3838 4.3978 2.7813
In -3.0588 0.3904 0.9593
In -1.1026 2.9994 0.4661
In -4.3401 1.7888 3.2745
Rh -1.5970 1.7430 2.8858
```